# ErScGa

A geometry-optimized ErScGa structure (GGA-PBE, Alexandria).

Properties
distance to the lowest polymorph of the same formula = 229 meV/atom
calculated formation energy = -221 meV per atom

Lattice parameters (Å, degrees): 4.543 4.543 7.153 90.00 90.00 90.00
Space group P4/nmm (No. 129, origin choice 2)
Inequivalent atoms, fractional coordinates:
Er 0.250 0.250 0.185 (multiplicity 2)
Sc 0.250 0.250 0.715 (multiplicity 2)
Ga 0.250 0.750 0.500 (multiplicity 2)